No. 1
LiLa2Ga3Au12 (PBE, relaxed); formation energy from the elements = -0.210 eV per atom; Fermi-level density of states = 6.84 states/eV per cell; M_tot = 0.0 μB per formula unit; theoretical density = 11.23 g/cm³
1.0
-5.1289 -4.7914 4.3206
3.3526 -6.2935 4.1331
0.2973 0.6539 8.2107
Ga Au Li La
3 12 1 2
direct
0.5000 0.0000 0.0000 Ga
0.0000 0.0000 0.5000 Ga
0.0000 0.5000 0.0000 Ga
0.8801 0.3681 0.3681 Au
0.3681 0.8801 0.3681 Au
0.1277 0.1277 0.6351 Au
0.3681 0.3681 0.8801 Au
0.1199 0.6319 0.6319 Au
0.1277 0.6351 0.1277 Au
0.3649 0.8723 0.8723 Au
0.6319 0.1199 0.6319 Au
0.6351 0.1277 0.1277 Au
0.8723 0.8723 0.3649 Au
0.8723 0.3649 0.8723 Au
0.6319 0.6319 0.1199 Au
0.0000 0.0000 0.0000 Li
0.6212 0.6212 0.6212 La
0.3787 0.3787 0.3787 La

---

No. 2
LiLaGaAu2 (PBE, relaxed); formation energy from the elements = -0.666 eV per atom; Fermi-level density of states = 3.69 states/eV per cell; M_tot = 0.0 μB per formula unit; theoretical density = 9.47 g/cm³
1.0
-0.5076 4.0299 -0.8943
0.5982 -0.8197 -4.0333
-6.1153 -2.5279 1.7511
Au Ga La Li
2 1 1 1
direct
0.6157 0.6157 0.2314 Au
0.3843 0.3843 0.7686 Au
0.2500 0.7500 0.5000 Ga
0.0000 0.0000 0.0000 La
0.7500 0.2500 0.5000 Li

---

No. 3
LaLuGaAu (PBE, relaxed); formation energy from the elements = -0.654 eV per atom; Fermi-level density of states = 2.78 states/eV per cell; M_tot = 0.0 μB per formula unit; theoretical density = 9.70 g/cm³
1.0
5.1996 0.0000 0.0000
2.5998 4.5030 0.0000
2.5998 1.5010 4.2455
Au La Lu Ga
1 1 1 1
direct
0.7500 0.7500 0.7500 Au
0.5000 0.5000 0.5000 La
0.0000 0.0000 0.0000 Lu
0.2500 0.2500 0.2500 Ga